No. 1
# NaB4Ir5 GGA-PBE relaxed
# Density of states at the Fermi level (states/eV/cell): 8.65
# Space group: No. 59
# Calculated formation energy (kJ per mole of atoms): 5.7
data_NaB4Ir5
_cell_length_a 5.937
_cell_length_b 9.928
_cell_length_c 5.102
_cell_angle_alpha 90.00
_cell_angle_beta 90.00
_cell_angle_gamma 90.00
_space_group_name_H-M_alt 'P 1'
_space_group_IT_number 1
_space_group_name_Hall 'P 1'
loop_
_atom_site_label
_atom_site_fract_x
_atom_site_fract_y
_atom_site_fract_z
_atom_site_occupancy
Na1 0.250 0.250 0.204 1
Na2 0.750 0.750 0.796 1
B1 0.024 0.250 0.676 1
B2 0.250 0.541 0.980 1
B3 0.250 0.959 0.980 1
B4 0.476 0.250 0.676 1
B5 0.524 0.750 0.324 1
B6 0.750 0.041 0.020 1
B7 0.750 0.459 0.020 1
B8 0.976 0.750 0.324 1
Ir1 0.012 0.050 0.731 1
Ir2 0.012 0.450 0.731 1
Ir3 0.250 0.750 0.080 1
Ir4 0.488 0.050 0.731 1
Ir5 0.488 0.450 0.731 1
Ir6 0.512 0.550 0.269 1
Ir7 0.512 0.950 0.269 1
Ir8 0.750 0.250 0.920 1
Ir9 0.988 0.550 0.269 1
Ir10 0.988 0.950 0.269 1

***

No. 2
# TbDy5Al3 GGA-PBE relaxed
# Density of states at the Fermi level (states/eV/cell): 19.22
# Space group: No. 193
# Calculated formation energy (kJ per mole of atoms): -25.8
data_TbDy5Al3
_cell_length_a 9.081
_cell_length_b 9.081
_cell_length_c 6.637
_cell_angle_alpha 90.00
_cell_angle_beta 90.00
_cell_angle_gamma 120.00
_space_group_name_H-M_alt 'P 1'
_space_group_IT_number 1
_space_group_name_Hall 'P 1'
loop_
_atom_site_label
_atom_site_fract_x
_atom_site_fract_y
_atom_site_fract_z
_atom_site_occupancy
Tb1 0.000 0.000 0.000 1
Tb2 0.000 0.000 0.500 1
Dy1 0.000 0.333 0.250 1
Dy2 0.000 0.667 0.750 1
Dy3 0.333 0.000 0.250 1
Dy4 0.333 0.333 0.750 1
Dy5 0.333 0.667 0.000 1
Dy6 0.333 0.667 0.500 1
Dy7 0.667 0.000 0.750 1
Dy8 0.667 0.333 0.000 1
Dy9 0.667 0.333 0.500 1
Dy10 0.667 0.667 0.250 1
Al1 0.000 0.334 0.750 1
Al2 0.000 0.666 0.250 1
Al3 0.334 0.000 0.750 1
Al4 0.334 0.334 0.250 1
Al5 0.666 0.000 0.250 1
Al6 0.666 0.666 0.750 1

***

No. 3
# Ba2PbN GGA-PBE relaxed
# Density of states at the Fermi level (states/eV/cell): 13.19
# Space group: No. 122
# Formation energy without anion corrections (eV per formula unit): -0.57
data_Ba2PbN
_cell_length_a 7.309
_cell_length_b 7.309
_cell_length_c 7.309
_cell_angle_alpha 113.66
_cell_angle_beta 113.66
_cell_angle_gamma 101.39
_space_group_name_H-M_alt 'P 1'
_space_group_IT_number 1
_space_group_name_Hall 'P 1'
loop_
_atom_site_label
_atom_site_fract_x
_atom_site_fract_y
_atom_site_fract_z
_atom_site_occupancy
Ba1 0.020 0.625 0.895 1
Ba2 0.375 0.270 0.395 1
Ba3 0.730 0.125 0.105 1
Ba4 0.875 0.980 0.605 1
Pb1 0.250 0.750 0.500 1
Pb2 0.500 0.500 0.000 1
N1 0.000 0.000 0.000 1
N2 0.750 0.250 0.500 1

***

No. 4
# BaAgPd3 GGA-PBE relaxed
# Density of states at the Fermi level (states/eV/cell): 3.03
# Space group: No. 107
# Relative energy among the computed polymorphs (meV/atom): 85
# Calculated formation energy (kJ per mole of atoms): -18.9
data_BaAgPd3
_cell_length_a 6.490
_cell_length_b 6.490
_cell_length_c 6.490
_cell_angle_alpha 139.52
_cell_angle_beta 139.52
_cell_angle_gamma 58.58
_space_group_name_H-M_alt 'P 1'
_space_group_IT_number 1
_space_group_name_Hall 'P 1'
loop_
_atom_site_label
_atom_site_fract_x
_atom_site_fract_y
_atom_site_fract_z
_atom_site_occupancy
Ba1 0.000 0.000 0.000 1
Ag1 0.372 0.372 0.000 1
Pd1 0.235 0.735 0.500 1
Pd2 0.607 0.607 0.000 1
Pd3 0.735 0.235 0.500 1

***

No. 5
# Np2Al8Ag GGA-PBE relaxed
# Density of states at the Fermi level (states/eV/cell): 16.17
# Space group: No. 123
# Calculated formation energy (kJ per mole of atoms): -7.6
data_Np2Al8Ag
_cell_length_a 4.331
_cell_length_b 4.331
_cell_length_c 11.219
_cell_angle_alpha 90.00
_cell_angle_beta 90.00
_cell_angle_gamma 90.00
_space_group_name_H-M_alt 'P 1'
_space_group_IT_number 1
_space_group_name_Hall 'P 1'
loop_
_atom_site_label
_atom_site_fract_x
_atom_site_fract_y
_atom_site_fract_z
_atom_site_occupancy
Np1 0.000 0.000 0.185 1
Np2 0.000 0.000 0.815 1
Al1 0.000 0.500 0.000 1
Al2 0.000 0.500 0.364 1
Al3 0.000 0.500 0.636 1
Al4 0.500 0.000 0.000 1
Al5 0.500 0.000 0.364 1
Al6 0.500 0.000 0.636 1
Al7 0.500 0.500 0.189 1
Al8 0.500 0.500 0.811 1
Ag1 0.000 0.000 0.500 1

***

No. 6
# K12Cd3I5 GGA-PBE relaxed
# Density of states at the Fermi level (states/eV/cell): 58.67
# Space group: No. 230
# Formation energy without anion corrections (eV per formula unit): -12.16
data_K12Cd3I5
_cell_length_a 18.329
_cell_length_b 18.329
_cell_length_c 18.329
_cell_angle_alpha 109.47
_cell_angle_beta 109.47
_cell_angle_gamma 109.47
_space_group_name_H-M_alt 'P 1'
_space_group_IT_number 1
_space_group_name_Hall 'P 1'
loop_
_atom_site_label
_atom_site_fract_x
_atom_site_fract_y
_atom_site_fract_z
_atom_site_occupancy
K1 0.052 0.222 0.134 1
K2 0.052 0.330 0.917 1
K3 0.083 0.634 0.413 1
K4 0.083 0.948 0.670 1
K5 0.087 0.722 0.670 1
K6 0.087 0.866 0.417 1
K7 0.134 0.052 0.222 1
K8 0.134 0.583 0.913 1
K9 0.170 0.222 0.587 1
K10 0.170 0.448 0.583 1
K11 0.222 0.134 0.052 1
K12 0.222 0.587 0.170 1
K13 0.278 0.330 0.913 1
K14 0.278 0.448 0.366 1
K15 0.330 0.913 0.278 1
K16 0.330 0.917 0.052 1
K17 0.366 0.278 0.448 1
K18 0.366 0.587 0.917 1
K19 0.413 0.083 0.634 1
K20 0.413 0.830 0.778 1
K21 0.417 0.087 0.866 1
K22 0.417 0.830 0.552 1
K23 0.448 0.366 0.278 1
K24 0.448 0.583 0.170 1
K25 0.552 0.417 0.830 1
K26 0.552 0.634 0.722 1
K27 0.583 0.170 0.448 1
K28 0.583 0.913 0.134 1
K29 0.587 0.170 0.222 1
K30 0.587 0.917 0.366 1
K31 0.634 0.413 0.083 1
K32 0.634 0.722 0.552 1
K33 0.670 0.083 0.948 1
K34 0.670 0.087 0.722 1
K35 0.722 0.552 0.634 1
K36 0.722 0.670 0.087 1
K37 0.778 0.413 0.830 1
K38 0.778 0.866 0.948 1
K39 0.830 0.552 0.417 1
K40 0.830 0.778 0.413 1
K41 0.866 0.417 0.087 1
K42 0.866 0.948 0.778 1
K43 0.913 0.134 0.583 1
K44 0.913 0.278 0.330 1
K45 0.917 0.052 0.330 1
K46 0.917 0.366 0.587 1
K47 0.948 0.670 0.083 1
K48 0.948 0.778 0.866 1
Cd1 0.125 0.250 0.375 1
Cd2 0.125 0.375 0.750 1
Cd3 0.250 0.375 0.125 1
Cd4 0.250 0.875 0.625 1
Cd5 0.375 0.125 0.250 1
Cd6 0.375 0.750 0.125 1
Cd7 0.625 0.250 0.875 1
Cd8 0.625 0.875 0.750 1
Cd9 0.750 0.125 0.375 1
Cd10 0.750 0.625 0.875 1
Cd11 0.875 0.625 0.250 1
Cd12 0.875 0.750 0.625 1
I1 0.000 0.000 0.000 1
I2 0.000 0.000 0.500 1
I3 0.000 0.500 0.000 1
I4 0.000 0.500 0.500 1
I5 0.125 0.750 0.875 1
I6 0.125 0.875 0.250 1
I7 0.250 0.125 0.875 1
I8 0.250 0.625 0.375 1
I9 0.375 0.250 0.625 1
I10 0.375 0.625 0.750 1
I11 0.500 0.000 0.000 1
I12 0.500 0.000 0.500 1
I13 0.500 0.500 0.000 1
I14 0.500 0.500 0.500 1
I15 0.625 0.375 0.250 1
I16 0.625 0.750 0.375 1
I17 0.750 0.375 0.625 1
I18 0.750 0.875 0.125 1
I19 0.875 0.125 0.750 1
I20 0.875 0.250 0.125 1